# SrTaPt2 PBE relaxed
data_SrTaPt2
_space_group_name_H-M_alt 'I m m 2'
_space_group_IT_number 44
_cell_length_a 2.9366
_cell_length_b 4.9591
_cell_length_c 11.0398
_cell_angle_alpha 90.00
_cell_angle_beta 90.00
_cell_angle_gamma 90.00
loop_
_space_group_symop_operation_xyz
'x,y,z'
'-x,-y,z'
'-x,y,z'
'x,-y,z'
'x+1/2,y+1/2,z+1/2'
'-x+1/2,-y+1/2,z+1/2'
'-x+1/2,y+1/2,z+1/2'
'x+1/2,-y+1/2,z+1/2'
loop_
_atom_site_label
_atom_site_fract_x
_atom_site_fract_y
_atom_site_fract_z
Sr1 0.0000 0.0000 0.0000
Ta1 0.0000 0.5000 0.7923
Pt1 0.0000 0.0000 0.5033
Pt2 0.0000 0.5000 0.2332
# ΔE_f   -0.21 eV per atom
# Polymorph energy (0 for the lowest one)   0.368 eV per atom